(1)
Density functional theory data (PBE-GGA) for crystalline Ce2TmBi3 at its relaxed geometry.

The space group is Fddd (No. 70, origin choice 2) and the conventional cell measures 9.0901, 12.8627 and 27.2788 Å, with angles of 90.00, 90.00 and 90.00 degrees. The distinct sites, in fractional coordinates, are Ce at (0.1250, 0.1250, 0.0428), Ce at (0.1250, 0.1250, 0.3737), Tm at (0.1250, 0.1250, 0.5414), Bi at (0.1162, 0.3750, 0.8750) and Bi at (0.1208, 0.3716, 0.7096).

For the formation energy, the calculation gives -0.78 eV per atom. The calculation puts the volume at 33.22 Å³/atom. The calculation puts the uncorrected energy at -5.45 eV per atom.

---

(2)
Density functional theory data (PBE-GGA) for crystalline HoEr3Tm2S6 at its relaxed geometry.

The space group is C2/m (No. 12) and the conventional cell measures 6.6644, 11.6013 and 6.6858 Å, with angles of 90.00, 109.47 and 90.00 degrees. The distinct sites, in fractional coordinates, are Ho at (0.0000, 0.0000, 0.0000), Er at (0.0000, 0.1654, 0.5000), Er at (0.0000, 0.5000, 0.5000), Tm at (0.0000, 0.3336, 0.0000), S at (0.2471, 0.5000, 0.2486) and S at (0.2490, 0.3321, 0.7506).

As for the formation energy (no corrections): -45.02 kcal/mol of atoms. The calculation puts the volume at 20.31 Å³/atom. The calculation puts the uncorrected energy at -6.28 eV per atom.

---

(3)
Density functional theory data (PBE-GGA) for crystalline TmPaCuSn at its relaxed geometry.

The space group is F-43m (No. 216) and the conventional cell measures 7.2266, 7.2266 and 7.2266 Å, with angles of 90.00, 90.00 and 90.00 degrees. The distinct sites, in fractional coordinates, are Tm at (0.0000, 0.0000, 0.0000), Pa at (0.0000, 0.0000, 0.5000), Cu at (0.2500, 0.2500, 0.7500) and Sn at (0.2500, 0.2500, 0.2500).

For the formation energy, the calculation gives -0.07 eV per atom. The calculation puts the volume at 23.59 Å³/atom. The calculation puts the uncorrected energy at -5.59 eV per atom.

---

(4)
Density functional theory data (PBE-GGA) for crystalline ZnSO2 at its relaxed geometry.

The space group is R-3m (No. 166, hexagonal axes) and the conventional cell measures 2.9896, 2.9896 and 19.9725 Å, with angles of 90.00, 90.00 and 120.00 degrees. The distinct sites, in fractional coordinates, are Zn at (0.0000, 0.0000, 0.0000), S at (0.0000, 0.0000, 0.5000) and O at (0.0000, 0.0000, 0.1143).

As for the formation energy (no corrections): 3.29 kcal/mol of atoms. The calculation puts the volume at 12.88 Å³/atom. The calculation puts the uncorrected energy at -3.69 eV per atom.